Nb4ReRu3 | Alexandria via LeMat-Bulk | GGA-PBE | relaxed; raw total energy = -10.273 eV/atom; energy of formation = -1.63 eV per formula unit; M_tot = 0.00 μB per formula unit
1.0
3.1637 0.0000 0.0000
0.0000 4.5264 0.0000
0.0000 0.0000 9.0730
Re Nb Ru
1 4 3
direct
0.5000 0.5000 0.0000 Re
0.0000 0.0000 0.5000 Nb
0.0000 0.5000 0.7591 Nb
0.0000 0.0000 0.0000 Nb
0.0000 0.5000 0.2409 Nb
0.5000 0.0000 0.2640 Ru
0.5000 0.5000 0.5000 Ru
0.5000 0.0000 0.7360 Ru